Record 1
First-principles (PBE) data for crystalline PuSnAsO at its relaxed geometry, as listed in the Alexandria database.

Geometry as extended XYZ:
```
8
Lattice="3.963 0.000 0.000 1.982 3.432 0.000 1.982 1.144 12.966" Properties=species:S:1:pos:R:3 pbc="T T T"
Pu 3.963 2.288 1.434
Pu 3.963 2.288 11.532
Sn 5.945 3.432 7.933
Sn 1.982 1.144 5.034
As 1.982 1.144 9.466
As 5.945 3.432 3.500
O 5.945 3.432 12.107
O 1.982 1.144 0.859
```

Size of the total moment   5.0 μB per formula unit
Energy relative to the elements, uncorrected   -144 kJ/mol of atoms
DOS(E_F)   11.21 states/eV/cell



Record 2
First-principles (PBE) data for crystalline PrDy2TmTe6 at its relaxed geometry, as listed in the Alexandria database.

Geometry as extended XYZ:
```
10
Lattice="7.758 0.000 0.000 3.879 6.718 0.000 3.878 2.240 7.049" Properties=species:S:1:pos:R:3 pbc="T T T"
Pr 11.636 6.718 3.821
Dy 7.757 4.479 3.305
Dy 3.878 2.239 6.889
Tm 3.879 2.240 0.215
Te 6.522 2.138 1.734
Te 6.348 6.720 1.734
Te 10.403 4.579 1.734
Te 8.851 6.583 5.307
Te 9.033 2.480 5.307
Te 5.388 4.374 5.307
```

Size of the total moment   0.0 μB per formula unit
Energy relative to the elements, uncorrected   -131 kJ/mol of atoms



Record 3
First-principles (PBE) data for crystalline SrCuOs2 at its relaxed geometry, as listed in the Alexandria database.

Geometry as extended XYZ:
```
4
Lattice="5.819 0.011 -0.001 2.805 5.098 0.001 -3.526 -3.881 2.523" Properties=species:S:1:pos:R:3 pbc="T T T"
Cu 1.498 1.710 1.262
Os 8.590 5.090 0.000
Os 3.651 -0.451 1.261
Sr 4.294 2.544 0.000
```

Size of the total moment   0.0 μB per formula unit
Formation energy from the elements   3.63 eV/f.u.
Energy relative to the lowest polymorph listed for this composition   750.2 meV per atom
DOS(E_F)   5.20 states/eV/cell



Record 4
First-principles (PBE) data for crystalline NaGe2H at its relaxed geometry, as listed in the Alexandria database.

Geometry as extended XYZ:
```
8
Lattice="-1.844 1.022 -4.793 -0.709 -5.123 -0.819 -6.845 -1.637 -0.575" Properties=species:S:1:pos:R:3 pbc="T T T"
Na 0.000 0.000 0.000
Na -4.983 -1.333 -4.087
Ge -2.493 -0.666 -2.046
Ge -2.845 -3.229 -2.451
Ge -6.269 -4.044 -2.740
Ge -7.192 -3.538 -5.138
H -1.277 -2.051 -2.806
H -4.416 -4.405 -2.100
```

Size of the total moment   0.0 μB per formula unit
Energy relative to the lowest polymorph listed for this composition   0.0 meV per atom
DOS(E_F)   1.44 states/eV/cell



Record 5
First-principles (PBE) data for crystalline CeGeSe at its relaxed geometry, as listed in the Alexandria database.

Geometry as extended XYZ:
```
6
Lattice="3.841 0.000 0.000 0.000 4.138 0.000 0.000 0.000 9.252" Properties=species:S:1:pos:R:3 pbc="T T T"
Ce 0.000 0.665 3.104
Ce 1.920 3.474 7.730
Ge 0.000 1.492 9.005
Ge 1.920 2.646 4.379
Se 1.920 2.761 1.840
Se 0.000 1.377 6.466
```

Size of the total moment   0.4 μB per formula unit
Energy relative to the elements, uncorrected   -78 kJ/mol of atoms
DOS(E_F)   8.06 states/eV/cell



Record 6
First-principles (PBE) data for crystalline Tb2Pr3ErS6 at its relaxed geometry, as listed in the Alexandria database.

Geometry as extended XYZ:
```
12
Lattice="6.886 -0.010 -0.002 -3.451 5.960 -0.002 -1.148 -1.988 6.656" Properties=species:S:1:pos:R:3 pbc="T T T"
Tb -0.006 3.970 -0.002
Tb 3.442 1.979 -0.002
Pr -2.284 3.960 3.326
Pr 4.572 0.001 3.326
Pr 1.144 1.981 3.326
Er 0.000 0.000 0.000
S 3.426 1.999 5.118
S 2.303 3.987 1.542
S -1.139 1.962 1.534
S 0.019 3.967 5.118
S -0.015 -0.026 5.110
S 2.269 -0.006 1.534
```

Size of the total moment   0.0 μB per formula unit
Energy relative to the elements, uncorrected   -194 kJ/mol of atoms
DOS(E_F)   5.19 states/eV/cell



Record 7
First-principles (PBE) data for crystalline NaCd11Ag at its relaxed geometry, as listed in the Alexandria database.

Geometry as extended XYZ:
```
13
Lattice="-5.397 -2.520 -0.352 -0.034 -7.548 1.683 -3.867 0.280 6.707" Properties=species:S:1:pos:R:3 pbc="T T T"
Na 0.000 0.000 0.000
Cd -2.418 -2.310 1.680
Cd -6.880 -7.478 6.358
Cd -3.509 -7.106 2.568
Cd -5.789 -2.682 5.470
Cd -4.506 -5.610 5.342
Cd -4.792 -4.178 2.696
Cd -7.848 -4.966 4.631
Cd -1.449 -4.822 3.407
Cd -0.017 -3.774 0.841
Cd -4.632 -1.120 3.178
Cd -1.933 0.140 3.354
Ag -2.715 -5.034 0.665
```

Size of the total moment   0.0 μB per formula unit
Formation energy from the elements   -0.34 eV/f.u.
DOS(E_F)   4.20 states/eV/cell



Record 8
First-principles (PBE) data for crystalline La6CoI3Cl2 at its relaxed geometry, as listed in the Alexandria database.

Geometry as extended XYZ:
```
12
Lattice="7.299 -0.022 0.040 -3.667 6.311 0.040 -1.168 -2.022 7.953" Properties=species:S:1:pos:R:3 pbc="T T T"
La 3.683 2.201 6.433
La 2.562 4.437 1.559
La -1.218 2.067 1.601
La 0.066 4.290 6.433
La -0.098 -0.169 6.475
La 2.399 -0.023 1.601
Co 0.000 0.000 0.000
I -2.436 4.252 4.017
I 4.901 0.015 4.017
I 1.232 2.134 4.017
Cl 0.025 4.179 0.040
Cl 3.607 2.110 0.040
```

Size of the total moment   0.0 μB per formula unit
Energy relative to the elements, uncorrected   -105 kJ/mol of atoms
DOS(E_F)   9.17 states/eV/cell



Question: What is the size of the total moment in the fourth record?
Answer: 0.0 μB per formula unit